# 1
Material: La3RuAu
Method: DFT, PBE
State: optimized geometry

a b c (Å): 4.830 4.830 7.729
angles (deg): 90.00 90.00 90.00
Sites, in units of the cell vectors:
La 0.000 0.000 0.000
La 0.000 0.500 0.626
La 0.500 0.000 0.626
Ru 0.500 0.500 0.824
Au 0.000 0.000 0.379

Values from the calculation:
N(E_F) in states/eV/f.u.: 3.9
ΔE to the lowest computed polymorph in eV/f.u.: 2.398
Space-group type: P4mm (99)
ΔE_f in eV per atom: -0.008

# 2
Material: Cs3K3MgBr8
Method: DFT, PBE
State: optimized geometry

a b c (Å): 9.597 9.597 9.597
angles (deg): 62.27 62.27 62.27
Sites, in units of the cell vectors:
Cs 0.000 0.500 0.500
Cs 0.500 0.000 0.500
Cs 0.500 0.500 0.000
K 0.000 0.000 0.500
K 0.000 0.500 0.000
K 0.500 0.000 0.000
Mg 0.000 0.000 0.000
Br 0.188 0.799 0.799
Br 0.201 0.201 0.812
Br 0.201 0.812 0.201
Br 0.240 0.240 0.240
Br 0.760 0.760 0.760
Br 0.799 0.188 0.799
Br 0.799 0.799 0.188
Br 0.812 0.201 0.201

Values from the calculation:
N(E_F) in states/eV/f.u.: 0.0
Energy relative to the elements, uncorrected in eV per atom: -1.694
Space-group type: R-3m (166)

# 3
Material: Ce2NdRu9
Method: DFT, PBE
State: optimized geometry

a b c (Å): 9.446 9.446 9.446
angles (deg): 32.26 32.26 32.26
Sites, in units of the cell vectors:
Ce 0.140 0.140 0.140
Ce 0.860 0.860 0.860
Nd 0.000 0.000 0.000
Ru 0.078 0.583 0.583
Ru 0.335 0.335 0.335
Ru 0.417 0.417 0.922
Ru 0.417 0.922 0.417
Ru 0.500 0.500 0.500
Ru 0.583 0.078 0.583
Ru 0.583 0.583 0.078
Ru 0.665 0.665 0.665
Ru 0.922 0.417 0.417

Values from the calculation:
N(E_F) in states/eV/f.u.: 16.8
Space-group type: R-3m (166)
ΔE_f in eV per atom: -0.102